Compound: RbTmCrF6
Source: the Alexandria database
Functional: GGA+U
Structure: optimized geometry

Summary:
VASP energy	-6.00	eV/atom
calculated volume	178.32	Å³/f.u.
Fermi-level density of states	0.0	states/eV per cell
crystal system	orthorhombic

a = 8.1332 Å, b = 7.5656 Å, c = 8.0273 Å
α = 118.12°, β = 120.44°, γ = 90.00°
Fractional coordinates of all 18 atoms:
F: 0.8226 0.0952 0.2699
F: 0.1774 0.9048 0.7301
F: 0.1850 0.9350 0.3700
F: 0.8150 0.0650 0.6300
F: 0.8226 0.6747 0.2699
F: 0.5527 0.9048 0.7301
F: 0.5534 0.3034 0.1068
F: 0.5527 0.3253 0.7301
F: 0.1774 0.3253 0.7301
F: 0.4473 0.0952 0.2699
F: 0.4473 0.6747 0.2699
F: 0.4466 0.6966 0.8932
Cr: 0.5000 0.5000 0.0000
Cr: 0.5000 0.0000 0.0000
Rb: 0.2006 0.4506 0.4012
Rb: 0.7994 0.5494 0.5988
Tm: 0.0000 0.0000 0.5000
Tm: 0.5000 0.0000 0.5000